# LiBr2Cl

A crystal of LiBr2Cl relaxed with PBEsol (meta-GGA SCAN, Alexandria).

Cell lengths 5.0910, 5.0910, 5.0910 Å; angles 60.00, 60.00, 60.00 degrees
Fractional coordinates of all 4 atoms:
1 Li 0.0000 0.0000 0.0000
2 Br 0.2500 0.2500 0.2500
3 Br 0.7500 0.7500 0.7500
4 Cl 0.5000 0.5000 0.5000

Values from the calculation:
Raw total energy = -50.30 eV/cell
Formation energy without anion corrections = -5.833 kcal/mol of atoms
Crystal system = cubic
Distance to the lowest polymorph of the same formula = 50.47 kJ/mol of atoms